Here is a geometry-optimized Ac2ErGa3Pt4 structure from Alexandria. Energies are from PBE.

Lattice parameters (Å, degrees): 4.416 4.416 11.279 90.00 90.00 90.00
Atoms (fractional coordinates):
Pt1 0.500 0.000 0.653
Pt2 0.000 0.000 0.000
Pt3 0.500 0.500 0.000
Pt4 0.000 0.500 0.347
Ga1 0.000 0.000 0.500
Ga2 0.500 0.000 0.882
Ga3 0.000 0.500 0.118
Ac1 0.000 0.500 0.768
Ac2 0.500 0.000 0.232
Er1 0.500 0.500 0.500

Properties
DFT total energy = -56.1 eV/cell
Calculated density = 12.16 g/cm3
Space group = P-4m2, No. 115
DFT formation energy = -1.010 eV/atom


Here is a geometry-optimized YHo3In3Te8 structure from Alexandria. Energies are from PBE.

Lattice parameters (Å, degrees): 8.746 8.744 9.358 117.85 90.01 120.00
Atoms (fractional coordinates):
Te1 0.757 0.018 0.275
Te2 0.739 0.982 0.725
Te3 0.757 0.514 0.276
Te4 0.243 0.486 0.724
Te5 0.742 0.483 0.725
Te6 0.258 0.517 0.275
Te7 0.243 0.982 0.725
Te8 0.261 0.018 0.275
In1 0.500 0.500 0.000
In2 0.000 0.000 0.000
In3 0.000 0.500 0.000
Y1 0.000 0.000 0.500
Ho1 0.500 0.000 0.500
Ho2 0.500 0.500 0.500
Ho3 0.000 0.500 0.500

Properties
DFT total energy = -68.6 eV/cell
E_form (uncorrected) = -1006 meV/atom
Calculated density = 6.20 g/cm3
Space group = R-3m, No. 166


Here is a geometry-optimized CaGeB2W structure from Alexandria. Energies are from PBE.

Lattice parameters (Å, degrees): 4.376 5.141 4.376 90.00 90.00 90.00
Atoms (fractional coordinates):
B1 0.500 0.000 0.000
B2 0.000 0.000 0.500
Ge1 0.500 0.500 0.500
W1 0.000 0.500 0.000
Ca1 0.000 0.000 0.000

Properties
DFT total energy = -18.2 eV/cell
Calculated density = 5.37 g/cm3
Space group = P4/mmm, No. 123
DFT formation energy = 2.949 eV/atom